This record from Alexandria via LeMat-Bulk describes a crystal of Mo3AsPd relaxed with PBEsol. The functional is meta-GGA SCAN.

Cell: 4.517 4.517 4.517 Å, 90.00 90.00 90.00°
Space group Pm-3m (No. 221)
Inequivalent atoms, fractional coordinates:
Mo  0.000  0.000  0.500 (multiplicity 3)
As  0.000  0.000  0.000 (multiplicity 1)
Pd  0.500  0.500  0.500 (multiplicity 1)

Computed properties:
* formation energy: 1299 meV per atom
* energy above the most stable polymorph in this dataset: 0.00 eV/f.u.
* DOS(E_F): 7.60 states/eV/f.u.
* electronic total energy: -30.225 eV per atom